# 1
Entry from the Alexandria database: crystalline Tl3Br at its relaxed geometry (GGA-PBE).

a b c (Å): 7.020 7.020 12.246
angles (deg): 90.00 90.00 120.00
Element x y z (fractional)
Tl 0.000 0.500 0.000
Tl 0.000 0.500 0.500
Tl 0.166 0.332 0.250
Tl 0.166 0.834 0.250
Tl 0.332 0.166 0.750
Tl 0.500 0.000 0.000
Tl 0.500 0.000 0.500
Tl 0.500 0.500 0.000
Tl 0.500 0.500 0.500
Tl 0.668 0.834 0.250
Tl 0.834 0.166 0.750
Tl 0.834 0.668 0.750
Br 0.000 0.000 0.000
Br 0.000 0.000 0.500
Br 0.333 0.667 0.750
Br 0.667 0.333 0.250

## Properties
Distance to the lowest polymorph of the same formula   43 meV/atom
E_form (uncorrected)   -0.26 eV/atom
Symmetry   P6_3/mmc

=====

# 2
Entry from the Alexandria database: crystalline Ce2ThZn2Ga2 at its relaxed geometry (GGA-PBE).

a b c (Å): 9.690 9.690 9.690
angles (deg): 25.88 25.88 25.88
Element x y z (fractional)
Ce 0.143 0.143 0.143
Ce 0.857 0.857 0.857
Th 0.000 0.000 0.000
Zn 0.405 0.405 0.405
Zn 0.595 0.595 0.595
Ga 0.261 0.261 0.261
Ga 0.739 0.739 0.739

## Properties
DFT formation energy   -0.391 eV per atom
Symmetry   R-3m

=====

# 3
Entry from the Alexandria database: crystalline Pr2NdY at its relaxed geometry (GGA-PBE).

a b c (Å): 6.351 6.351 6.351
angles (deg): 131.61 131.61 70.84
Element x y z (fractional)
Pr 0.000 0.000 0.000
Pr 0.750 0.250 0.500
Nd 0.250 0.750 0.500
Y 0.500 0.500 0.000

## Properties
Distance to the lowest polymorph of the same formula   2 meV/atom
DFT formation energy   0.013 eV per atom
Symmetry   I-4m2

=====

# 4
Entry from the Alexandria database: crystalline Tc2AgIr at its relaxed geometry (GGA-PBE).

a b c (Å): 2.748 2.748 8.116
angles (deg): 90.00 90.00 90.00
Element x y z (fractional)
Tc 0.000 0.000 0.000
Tc 0.500 0.500 0.239
Ag 0.000 0.000 0.507
Ir 0.500 0.500 0.776

## Properties
Distance to the lowest polymorph of the same formula   78 meV/atom
DFT formation energy   0.217 eV per atom
Symmetry   P4mm

=====

Calculated values (Mg/m³) of mass density for the records, taken in order: 8.8; 8.5; 6.1; 13.4.